1.
LiCr2Os: relaxed, PBE-GGA.

abc: 4.2020 4.2020 2.9241
angles: 90.00 90.00 90.00
Closest atoms and distances in Å follow each position.
Fractional positions:
Cr  0.0000  0.0000  0.0000  4 Li 2.56, 4 Os 2.56
Cr  0.5000  0.5000  0.0000  4 Li 2.56, 4 Os 2.56
Li  0.5000  0.0000  0.5000  8 Cr 2.56
Os  0.0000  0.5000  0.5000  8 Cr 2.56

Output
* E_form: 0.33 eV/atom
* calculated total energy: -7.77 eV per atom



2.
TbCe2ErS4: relaxed, PBE-GGA.

abc: 3.9341 6.8258 6.9296
angles: 109.13 90.00 90.00
Closest atoms and distances in Å follow each position.
Fractional positions:
Ce  0.5000  0.0000  0.5000  6 S 2.84
Ce  0.0000  0.5000  0.5000  6 S 2.86
Er  0.0000  0.0000  0.0000  6 S 2.74
Tb  0.5000  0.5000  0.0000  6 S 2.76-2.77
S  0.5000  0.2425  0.2361  2 Er 2.74, 1 Tb 2.77, 3 Ce 2.84-2.86
S  0.0000  0.2511  0.7619  1 Er 2.74, 2 Tb 2.76, 3 Ce 2.84-2.86
S  0.0000  0.7489  0.2381  1 Er 2.74, 2 Tb 2.76, 3 Ce 2.84-2.86
S  0.5000  0.7575  0.7639  2 Er 2.74, 1 Tb 2.77, 3 Ce 2.84-2.86

Output
* calculated total energy: -6.72 eV per atom
* ΔE_f (raw): -2.025 eV per atom



3.
YTi2Tc2: relaxed, PBE-GGA.

abc: 4.1295 4.1295 6.3409
angles: 71.00 71.00 90.00
Closest atoms and distances in Å follow each position.
Fractional positions:
Ti  0.7500  0.2500  0.5000  4 Tc 2.58
Ti  0.2500  0.7500  0.5000  4 Tc 2.58
Y  0.0000  0.0000  0.0000  8 Tc 3.18, 8 Ti 3.49
Tc  0.6128  0.6128  0.7743  1 Tc 2.54, 4 Ti 2.58
Tc  0.3872  0.3872  0.2257  1 Tc 2.54, 4 Ti 2.58

Output
* E_form: -0.13 eV/atom
* calculated total energy: -8.73 eV per atom



4.
K4LiHg4: relaxed, PBE-GGA.

abc: 6.3516 9.8056 6.3516
angles: 71.10 90.00 108.90
Closest atoms and distances in Å follow each position.
Fractional positions:
Hg  0.7619  0.0970  0.6649  1 Li 2.71
Hg  0.2381  0.9030  0.7619  1 Li 2.71
Hg  0.3351  0.0970  0.2381  1 Li 2.71
Hg  0.6649  0.9030  0.3351  1 Li 2.71
K  0.0837  0.6879  0.3958  1 Li 3.47, 5 Hg 3.56-3.84
K  0.9163  0.3121  0.0837  1 Li 3.47, 5 Hg 3.56-3.84
K  0.6042  0.6879  0.9163  1 Li 3.47, 5 Hg 3.56-3.84
K  0.3958  0.3121  0.6042  1 Li 3.47, 5 Hg 3.56-3.84
Li  0.0000  0.0000  0.0000  4 Hg 2.71

Output
* E_form: -0.16 eV/atom
* calculated total energy: -1.00 eV per atom



5.
BaTaSb2I: relaxed, PBE-GGA.

abc: 6.2792 6.2792 6.2864
angles: 90.00 90.00 90.00
Closest atoms and distances in Å follow each position.
Fractional positions:
Ba  0.0000  0.0000  0.0000  4 Sb 3.14, 2 I 3.14
Ta  0.5000  0.5000  0.5000  4 I 4.44, 8 Sb 4.44
I  0.0000  0.0000  0.5000  2 Ba 3.14
Sb  0.0000  0.5000  0.0000  2 Ba 3.14
Sb  0.5000  0.0000  0.0000  2 Ba 3.14

Output
* calculated total energy: -3.14 eV per atom
* ΔE_f (raw): 1.571 eV per atom



6.
CoAs2Au: relaxed, PBE-GGA.

abc: 2.8956 2.8931 8.0038
angles: 90.04 90.00 90.00
Closest atoms and distances in Å follow each position.
Fractional positions:
Co  0.5000  0.7500  0.7500  8 As 2.52
Au  0.5000  0.2500  0.2500  4 Au 2.89-2.90, 4 As 2.91
As  0.0000  0.2496  0.5655  4 Co 2.52
As  0.0000  0.2504  0.9345  4 Co 2.52

Output
* E_form: 0.05 eV/atom
* calculated total energy: -4.87 eV per atom



7.
Pm2Er4Ge3O2: relaxed, PBE-GGA.

abc: 4.5228 4.5228 12.3814
angles: 100.52 100.52 90.00
Closest atoms and distances in Å follow each position.
Fractional positions:
Ge  0.8279  0.8279  0.6559  5 Pm 3.11-3.26, 4 Er 3.16
Ge  0.1721  0.1721  0.3441  5 Pm 3.11-3.26, 4 Er 3.16
Ge  0.0000  0.0000  0.0000  8 Er 2.96
Pm  0.6978  0.6978  0.3957  1 O 2.56
Pm  0.3022  0.3022  0.6043  1 O 2.56
Er  0.5797  0.0796  0.1593  2 O 2.28
Er  0.0797  0.5796  0.1593  2 O 2.28
Er  0.9203  0.4204  0.8407  2 O 2.28
Er  0.4203  0.9204  0.8407  2 O 2.28
O  0.5910  0.5910  0.1820  4 Er 2.28
O  0.4090  0.4090  0.8180  4 Er 2.28

Output
* calculated total energy: -6.28 eV per atom
* ΔE_f (raw): -1.596 eV per atom



8.
Ag2POs: relaxed, PBE-GGA.

abc: 5.5257 5.5257 5.5257
angles: 148.19 130.50 60.05
Closest atoms and distances in Å follow each position.
Fractional positions:
Ag  0.0197  0.0197  0.0000  4 Os 2.82, 2 P 2.97, 6 Ag 3.03-3.15
Ag  0.7315  0.2315  0.5000  4 P 2.82, 2 Os 3.00, 6 Ag 3.03-3.15
Os  0.4614  0.4614  0.0000  2 P 2.25
P  0.2873  0.7873  0.5000  2 Os 2.25

Output
* E_form: 0.43 eV/atom
* calculated total energy: -5.16 eV per atom